DFT (PBE) results for a relaxed structure of Ba2CdSn3Au4.

Lattice parameters (Å, degrees): 4.916 4.916 11.152 90.00 90.00 90.00
Positions (direct):
Au1 0.000 0.500 0.371
Au2 0.000 0.000 0.000
Au3 0.500 0.000 0.629
Au4 0.500 0.500 0.000
Sn1 0.500 0.000 0.876
Sn2 0.000 0.000 0.500
Sn3 0.000 0.500 0.124
Ba1 0.000 0.500 0.758
Ba2 0.500 0.000 0.242
Cd1 0.500 0.500 0.500

Magnetization: 0.00 μB/f.u.
VASP energy: -3.5679 eV per atom
Density of states at the Fermi level: 0.51 states/eV per atom
Crystal system: tetragonal
DFT formation energy: -0.5800 eV/atom

---

DFT (PBE) results for a relaxed structure of BaCd2SnAu.

Lattice parameters (Å, degrees): 4.776 4.762 7.039 109.77 109.83 90.00
Positions (direct):
Sn1 0.200 0.700 0.399
Ba1 0.437 0.437 0.874
Cd1 0.695 0.195 0.390
Cd2 0.053 0.053 0.106
Au1 0.827 0.827 0.655

Magnetization: 0.00 μB/f.u.
VASP energy: -2.6481 eV per atom
Density of states at the Fermi level: 0.69 states/eV per atom
Crystal system: orthorhombic
DFT formation energy: -0.4415 eV/atom

---

DFT (PBE) results for a relaxed structure of BaCd2Sn2Au2.

Lattice parameters (Å, degrees): 4.838 4.838 9.657 75.49 75.49 60.00
Positions (direct):
Cd1 0.140 0.140 0.581
Cd2 0.860 0.860 0.419
Au1 0.420 0.420 0.740
Au2 0.580 0.580 0.260
Sn1 0.751 0.751 0.748
Sn2 0.249 0.249 0.252
Ba1 0.000 0.000 0.000

Magnetization: 0.00 μB/f.u.
VASP energy: -3.0082 eV per atom
Density of states at the Fermi level: 0.32 states/eV per atom
Crystal system: trigonal
DFT formation energy: -0.3920 eV/atom